The following is a GGA-PBEsol calculation of an optimized crystal structure of BaBeBi2, from Alexandria via LeMat-Bulk.

```
BaBeBi2
1.0
6.058 0.000 0.000
0.000 6.058 0.000
-3.029 -3.029 7.843
Be Bi Ba
2 4 2
Direct
0.750 0.250 0.500
0.500 0.500 0.000
0.554 0.875 0.250
0.696 0.375 0.250
0.125 0.304 0.750
0.625 0.446 0.750
0.250 0.750 0.500
0.000 0.000 0.000
```

Results
volume: 287.9 Å³ per cell
total moment: 0.0 μB per cell
space group: I-42d (122)
calculated total energy: -3.80 eV per atom

---

The following is a GGA-PBEsol calculation of an optimized crystal structure of BaBe2BiPd, from Alexandria via LeMat-Bulk.

```
BaBe2BiPd
1.0
4.638 0.000 0.000
0.000 4.638 0.000
0.000 0.000 6.714
Be Bi Pd Ba
2 1 1 1
Direct
0.000 0.500 0.000
0.500 0.000 0.000
0.000 0.000 0.000
0.500 0.500 0.500
0.000 0.000 0.500
```

Results
volume: 144.5 Å³ per cell
total moment: 0.0 μB per cell
space group: P4/mmm (123)
calculated total energy: -3.15 eV per atom

---

The following is a GGA-PBEsol calculation of an optimized crystal structure of BaBeBr, from Alexandria via LeMat-Bulk.

```
BaBeBr
1.0
-3.498 -3.580 -0.916
1.189 -4.917 0.546
-1.966 -2.680 3.852
Be Ba Br
1 1 1
Direct
0.750 0.750 0.750
0.500 0.500 0.500
0.000 0.000 0.000
```

Results
volume: 93.2 Å³ per cell
total moment: 0.0 μB per cell
formation energy from raw total energies: -0.02 eV/f.u.
space group: F-43m (216)
calculated total energy: -2.68 eV per atom